NdCd2Rh | PBE | optimized geometry

CIF file:
```
data_NdCd2Rh
_cell_length_a 3.1376
_cell_length_b 3.1376
_cell_length_c 32.3708
_cell_angle_alpha 90.00
_cell_angle_beta 90.00
_cell_angle_gamma 120.00
_space_group_name_H-M_alt 'R -3 m'
_space_group_IT_number 166
_space_group_name_Hall '-R 3 2"'
loop_
_atom_site_label
_atom_site_type_symbol
_atom_site_fract_x
_atom_site_fract_y
_atom_site_fract_z
Nd1 Nd 0.0000 0.0000 0.0000
Cd1 Cd 0.0000 0.0000 0.1001
Rh1 Rh 0.0000 0.0000 0.5000
```

Summary:
- Magnetic moment: 0.000 Bohr magnetons per cell
- Calculated volume: 276 Å³/cell
- Energy: -3.26 eV/atom

SiH4I3 | PBE | optimized geometry

CIF file:
```
data_SiH4I3
_cell_length_a 7.415
_cell_length_b 8.431
_cell_length_c 8.421
_cell_angle_alpha 90.00
_cell_angle_beta 90.00
_cell_angle_gamma 90.00
_space_group_name_H-M_alt 'I m m 2'
_space_group_IT_number 44
_space_group_name_Hall 'I 2 -2'
loop_
_atom_site_label
_atom_site_type_symbol
_atom_site_fract_x
_atom_site_fract_y
_atom_site_fract_z
Si1 Si 0.000 0.000 0.000
H1 H 0.000 0.145 0.102
H2 H 0.164 0.000 0.897
I1 I 0.000 0.178 0.546
I2 I 0.000 0.500 0.664
```

Summary:
- Magnetic moment: 0.000 Bohr magnetons per cell
- Calculated volume: 526 Å³/cell
- Energy: -2.89 eV/atom

LiB2H | PBE | optimized geometry

CIF file:
```
data_LiB2H
_cell_length_a 5.315
_cell_length_b 3.032
_cell_length_c 3.880
_cell_angle_alpha 90.00
_cell_angle_beta 101.40
_cell_angle_gamma 90.00
_space_group_name_H-M_alt 'C 1 m 1'
_space_group_IT_number 8
_space_group_name_Hall 'C -2y'
loop_
_atom_site_label
_atom_site_type_symbol
_atom_site_fract_x
_atom_site_fract_y
_atom_site_fract_z
Li1 Li 0.000 0.000 0.000
B1 B 0.109 0.500 0.592
B2 B 0.279 0.000 0.593
H1 H 0.405 0.000 0.330
```

Summary:
- Magnetic moment: 0.000 Bohr magnetons per cell
- Calculated volume: 61 Å³/cell
- Energy relative to the lowest polymorph listed for this composition: 0.1775 eV per atom
- Energy: -4.67 eV/atom

YTaAg | PBE | optimized geometry

CIF file:
```
data_YTaAg
_cell_length_a 6.694
_cell_length_b 6.694
_cell_length_c 6.694
_cell_angle_alpha 90.00
_cell_angle_beta 90.00
_cell_angle_gamma 90.00
_space_group_name_H-M_alt 'F -4 3 m'
_space_group_IT_number 216
_space_group_name_Hall 'F -4 2 3'
loop_
_atom_site_label
_atom_site_type_symbol
_atom_site_fract_x
_atom_site_fract_y
_atom_site_fract_z
Y1 Y 0.000 0.000 0.000
Ta1 Ta 0.000 0.000 0.500
Ag1 Ag 0.250 0.250 0.250
```

Summary:
- Magnetic moment: 4.609 Bohr magnetons per cell
- Calculated volume: 300 Å³/cell
- Energy relative to the lowest polymorph listed for this composition: 0.6039 eV per atom
- Energy: -6.24 eV/atom